A relaxed structure of Ho12Co6Hg. Source: Alexandria, functional GGA-PBE.

Calculated values
Space group = Im-3
Energy of formation from the pure elements = -248 meV per atom
Total magnetization = 0.00 μB/atom
Uncorrected energy = -5.399 eV/atom
D(E_F) = 15.22 states/eV/f.u.

POSCAR file:
```
Ho12Co6Hg
1.0
-4.7896 4.7896 4.7896
4.7896 -4.7896 4.7896
4.7896 4.7896 -4.7896
Ho Co Hg
12 6 1
Cartesian
4.7896 2.9317 -1.8973
2.8923 0.0000 1.8579
6.6869 0.0000 1.8579
1.8579 2.8923 0.0000
2.9317 -1.8973 4.7896
0.0000 1.8579 2.8923
4.7896 2.9317 1.8973
1.8579 6.6869 0.0000
2.9317 1.8973 4.7896
-1.8973 4.7896 2.9317
1.8973 4.7896 2.9317
0.0000 1.8579 6.6869
4.7896 1.0898 0.0000
4.7896 0.0000 3.6998
3.6998 4.7896 0.0000
1.0898 0.0000 4.7896
0.0000 4.7896 1.0898
0.0000 3.6998 4.7896
0.0000 0.0000 0.0000
```